Entry A
This record from Alexandria describes an optimized crystal structure of Ce2Au3. The functional is PBE.

abc: 14.4144 14.4144 4.6980
angles: 90.00 90.00 165.50
Closest atoms and distances in Å follow each position.
Atoms (fractional coordinates):
Ce (0.0722, 0.9278, 0.7500)  12 Au 3.27-3.59, 2 Ce 3.64
Ce (0.2060, 0.7940, 0.2500)  7 Au 3.05-3.24
Ce (0.7940, 0.2060, 0.7500)  7 Au 3.05-3.24
Ce (0.9278, 0.0722, 0.2500)  12 Au 3.27-3.59, 2 Ce 3.64
Au (0.3194, 0.6806, 0.2500)  2 Au 2.91, 5 Ce 3.06-3.24
Au (0.3794, 0.6206, 0.7500)  3 Au 2.75-2.91, 2 Ce 3.05
Au (0.4754, 0.5246, 0.7500)  3 Au 2.74-2.75
Au (0.5246, 0.4754, 0.2500)  3 Au 2.74-2.75
Au (0.6206, 0.3794, 0.2500)  3 Au 2.75-2.91, 2 Ce 3.05
Au (0.6806, 0.3194, 0.7500)  2 Au 2.91, 5 Ce 3.06-3.24

Density ... 11.83 g cm⁻³



Entry B
This record from Alexandria describes an optimized crystal structure of Ce2Au3. The functional is PBE.

abc: 8.8845 8.8845 8.8845
angles: 109.47 109.47 109.47
Closest atoms and distances in Å follow each position.
Atoms (fractional coordinates):
Ce (0.0000, 0.4241, 0.5000)  6 Au 3.01-3.02
Ce (0.0000, 0.9241, 0.5000)  6 Au 3.01-3.02
Ce (0.0759, 0.0759, 0.0759)  6 Au 3.01-3.02
Ce (0.4241, 0.5000, 0.0000)  6 Au 3.01-3.02
Ce (0.5000, 0.0000, 0.4241)  6 Au 3.01-3.02
Ce (0.5000, 0.0000, 0.9241)  6 Au 3.01-3.02
Ce (0.5759, 0.5759, 0.5759)  6 Au 3.01-3.02
Ce (0.9241, 0.5000, 0.0000)  6 Au 3.01-3.02
Au (0.0127, 0.2627, 0.7500)  1 Au 2.82, 4 Ce 3.01-3.02
Au (0.2373, 0.2500, 0.4873)  1 Au 2.82, 4 Ce 3.01-3.02
Au (0.2500, 0.4873, 0.2373)  1 Au 2.82, 4 Ce 3.01-3.02
Au (0.2500, 0.7627, 0.5127)  1 Au 2.82, 4 Ce 3.01-3.02
Au (0.2627, 0.7500, 0.0127)  1 Au 2.82, 4 Ce 3.01-3.02
Au (0.4873, 0.2373, 0.2500)  1 Au 2.82, 4 Ce 3.01-3.02
Au (0.5127, 0.2500, 0.7627)  1 Au 2.82, 4 Ce 3.01-3.02
Au (0.7373, 0.9873, 0.7500)  1 Au 2.82, 4 Ce 3.01-3.02
Au (0.7500, 0.0127, 0.2627)  1 Au 2.82, 4 Ce 3.01-3.02
Au (0.7500, 0.7373, 0.9873)  1 Au 2.82, 4 Ce 3.01-3.02
Au (0.7627, 0.5127, 0.2500)  1 Au 2.82, 4 Ce 3.01-3.02
Au (0.9873, 0.7500, 0.7373)  1 Au 2.82, 4 Ce 3.01-3.02

Density ... 10.72 g cm⁻³



Taking the most stable structure as the zero point, the relative energies in meV per atom are entry A 0; entry B 170.



Entry A
This record from Alexandria describes an optimized crystal structure of Ce5Au. The functional is PBE.

abc: 5.2566 4.2389 6.8995
angles: 90.00 105.77 90.00
Closest atoms and distances in Å follow each position.
Atoms (fractional coordinates):
Ce (0.0000, 0.0000, 0.0000)  6 Ce 3.02-3.29, 4 Au 3.38
Ce (0.1149, 0.5000, 0.3244)  7 Ce 2.99-3.19
Ce (0.3336, 0.0000, 0.6605)  2 Au 3.10, 6 Ce 3.12-3.29
Ce (0.6664, 0.0000, 0.3395)  2 Au 3.10, 6 Ce 3.12-3.29
Ce (0.8851, 0.5000, 0.6756)  7 Ce 2.99-3.19
Au (0.5000, 0.5000, 0.0000)  12 Ce 3.10-3.40

Density ... 10.07 g cm⁻³



Entry B
This record from Alexandria describes an optimized crystal structure of Ce5Au. The functional is PBE.

abc: 8.7818 8.7818 3.2908
angles: 90.00 90.00 143.67
Closest atoms and distances in Å follow each position.
Atoms (fractional coordinates):
Ce (0.0000, 0.0000, 0.0000)  6 Ce 3.13-3.29, 4 Au 3.19
Ce (0.1592, 0.8408, 0.5000)  10 Ce 3.13-3.43
Ce (0.3397, 0.6603, 0.0000)  2 Au 3.14, 8 Ce 3.19-3.43
Ce (0.6603, 0.3397, 0.0000)  2 Au 3.14, 8 Ce 3.19-3.43
Ce (0.8408, 0.1592, 0.5000)  10 Ce 3.13-3.43
Au (0.5000, 0.5000, 0.5000)  8 Ce 3.14-3.19, 2 Au 3.29

Density ... 9.91 g cm⁻³



Taking the most stable structure as the zero point, the relative energies in meV per atom are entry A 39; entry B 0.



Entry A
This record from Alexandria describes an optimized crystal structure of Ce4CoAu2. The functional is PBE.

abc: 6.3748 3.6447 8.2784
angles: 90.00 105.54 90.00
Closest atoms and distances in Å follow each position.
Atoms (fractional coordinates):
Ce (0.1867, 0.0000, 0.3603)  1 Co 2.90, 4 Au 3.06-3.18
Ce (0.2629, 0.5000, 0.9696)  2 Co 2.53
Ce (0.7371, 0.5000, 0.0304)  2 Co 2.53
Ce (0.8133, 0.0000, 0.6397)  1 Co 2.90, 4 Au 3.06-3.18
Co (0.0000, 0.0000, 0.0000)  4 Ce 2.53
Au (0.4096, 0.5000, 0.6533)  6 Ce 3.01-3.26, 1 Au 3.06
Au (0.5904, 0.5000, 0.3467)  6 Ce 3.01-3.26, 1 Au 3.06

Density ... 9.08 g cm⁻³



Entry B
This record from Alexandria describes an optimized crystal structure of Ce4CoAu2. The functional is PBE.

abc: 8.5520 8.5520 8.5520
angles: 146.72 146.72 47.78
Closest atoms and distances in Å follow each position.
Atoms (fractional coordinates):
Ce (0.0000, 0.5000, 0.5000)  2 Co 2.45
Ce (0.1839, 0.1839, 0.0000)  1 Co 2.88, 1 Au 2.89
Ce (0.5000, 0.0000, 0.5000)  2 Co 2.45
Ce (0.8161, 0.8161, 0.0000)  1 Co 2.88, 1 Au 2.89
Co (0.0000, 0.0000, 0.0000)  4 Ce 2.45
Au (0.3687, 0.3687, 0.0000)  5 Ce 2.89-3.20
Au (0.6313, 0.6313, 0.0000)  5 Ce 2.89-3.20

Density ... 8.97 g cm⁻³



Taking the most stable structure as the zero point, the relative energies in meV per atom are entry A 86; entry B 0.



Entry A
This record from Alexandria describes an optimized crystal structure of Ce7Co2Au2. The functional is PBE.

abc: 6.7183 6.7183 6.5849
angles: 90.00 90.00 111.58
Closest atoms and distances in Å follow each position.
Atoms (fractional coordinates):
Ce (0.0000, 0.0000, 0.0000)  2 Co 3.04
Ce (0.0000, 0.5000, 0.2718)  2 Co 2.62
Ce (0.0000, 0.5000, 0.7282)  2 Co 2.62
Ce (0.5000, 0.0000, 0.2718)  2 Co 2.62
Ce (0.5000, 0.0000, 0.7282)  2 Co 2.62
Ce (0.5000, 0.5000, 0.2119)  1 Ce 2.79, 2 Co 2.87, 2 Au 3.06
Ce (0.5000, 0.5000, 0.7881)  1 Ce 2.79, 2 Co 2.87, 2 Au 3.06
Co (0.2738, 0.7262, 0.0000)  6 Ce 2.62-2.87
Co (0.7262, 0.2738, 0.0000)  6 Ce 2.62-2.87
Au (0.1821, 0.1821, 0.5000)  1 Au 2.75, 2 Ce 3.06
Au (0.8179, 0.8179, 0.5000)  1 Au 2.75, 2 Ce 3.06

Density ... 8.97 g cm⁻³



Entry B
This record from Alexandria describes an optimized crystal structure of Ce7Co2Au2. The functional is PBE.

abc: 9.2617 9.2617 9.2617
angles: 157.53 67.45 117.35
Closest atoms and distances in Å follow each position.
Atoms (fractional coordinates):
Ce (0.0000, 0.0000, 0.0000)  3 Au 3.14-3.17
Ce (0.2944, 0.4271, 0.8672)  2 Co 2.77
Ce (0.3128, 0.6296, 0.6832)  2 Co 2.64
Ce (0.5599, 0.4271, 0.1328)  2 Co 2.77
Ce (0.6109, 0.2647, 0.3462)  2 Co 2.77
Ce (0.9186, 0.2647, 0.6538)  2 Co 2.77
Ce (0.9463, 0.6296, 0.3168)  2 Co 2.64
Co (0.1758, 0.9447, 0.2311)  6 Ce 2.64-2.77
Co (0.7135, 0.9447, 0.7689)  6 Ce 2.64-2.77
Au (0.2701, 0.7701, 0.5000)  8 Ce 3.12-3.17
Au (0.6741, 0.6741, 0.0000)  7 Ce 3.10-3.14

Density ... 9.26 g cm⁻³



Taking the most stable structure as the zero point, the relative energies in meV per atom are entry A 76; entry B 0.



Entry A
This record from Alexandria describes an optimized crystal structure of Ce6CoAu2. The functional is PBE.

abc: 6.1935 8.3636 10.0322
angles: 90.00 120.94 90.00
Closest atoms and distances in Å follow each position.
Atoms (fractional coordinates):
Ce (0.0307, 0.1622, 0.4724)  2 Ce 2.75-2.83, 1 Co 2.85, 2 Au 3.03-3.07
Ce (0.0307, 0.3378, 0.9724)  2 Ce 2.75-2.83, 1 Co 2.85, 2 Au 3.03-3.07
Ce (0.3374, 0.7305, 0.4737)  2 Ce 2.75-3.01, 1 Co 2.95, 2 Au 2.99-3.05
Ce (0.3374, 0.7695, 0.9737)  2 Ce 2.75-3.01, 1 Co 2.95, 2 Au 2.99-3.05
Ce (0.3679, 0.0417, 0.2603)  1 Co 2.45
Ce (0.3679, 0.4583, 0.7603)  1 Co 2.45
Ce (0.6321, 0.5417, 0.2397)  1 Co 2.45
Ce (0.6321, 0.9583, 0.7397)  1 Co 2.45
Ce (0.6626, 0.2305, 0.0263)  2 Ce 2.75-3.01, 1 Co 2.95, 2 Au 2.99-3.05
Ce (0.6626, 0.2695, 0.5263)  2 Ce 2.75-3.01, 1 Co 2.95, 2 Au 2.99-3.05
Ce (0.9693, 0.6622, 0.0276)  2 Ce 2.75-2.83, 1 Co 2.85, 2 Au 3.03-3.07
Ce (0.9693, 0.8378, 0.5276)  2 Ce 2.75-2.83, 1 Co 2.85, 2 Au 3.03-3.07
Co (0.0000, 0.0000, 0.0000)  2 Ce 2.45
Co (0.0000, 0.5000, 0.5000)  2 Ce 2.45
Au (0.1623, 0.0876, 0.8012)  1 Co 2.75, 4 Ce 2.99-3.07
Au (0.1623, 0.4124, 0.3012)  1 Co 2.75, 4 Ce 2.99-3.07
Au (0.8377, 0.5876, 0.6988)  1 Co 2.75, 4 Ce 2.99-3.07
Au (0.8377, 0.9124, 0.1988)  1 Co 2.75, 4 Ce 2.99-3.07

Density ... 9.64 g cm⁻³



Entry B
This record from Alexandria describes an optimized crystal structure of Ce6CoAu2. The functional is PBE.

abc: 3.5950 8.4347 8.4347
angles: 120.20 90.00 90.00
Closest atoms and distances in Å follow each position.
Atoms (fractional coordinates):
Ce (0.0000, 0.0000, 0.0000)  2 Co 2.70
Ce (0.0000, 0.5224, 0.7604)  2 Co 2.69
Ce (0.0000, 0.7604, 0.5224)  2 Co 2.69
Ce (0.5000, 0.1684, 0.7625)  4 Au 3.12, 1 Co 3.43, 4 Ce 3.48-3.49
Ce (0.5000, 0.3513, 0.3513)  4 Au 3.13, 1 Co 3.44, 6 Ce 3.46-3.49
Ce (0.5000, 0.7625, 0.1684)  4 Au 3.12, 1 Co 3.43, 4 Ce 3.48-3.49
Co (0.5000, 0.7598, 0.7598)  6 Ce 2.69-2.70
Au (0.0000, 0.0944, 0.4292)  9 Ce 3.12-3.29
Au (0.0000, 0.4292, 0.0944)  9 Ce 3.12-3.29

Density ... 9.72 g cm⁻³



Taking the most stable structure as the zero point, the relative energies in meV per atom are entry A 41; entry B 0.



Entry A
This record from Alexandria describes an optimized crystal structure of CeCuAu2. The functional is PBE.

abc: 4.8915 4.8915 4.8915
angles: 60.00 60.00 60.00
Closest atoms and distances in Å follow each position.
Atoms (fractional coordinates):
Ce (0.0000, 0.0000, 0.0000)  8 Au 3.00
Cu (0.5000, 0.5000, 0.5000)  8 Au 3.00
Au (0.2500, 0.2500, 0.2500)  4 Cu 3.00, 4 Ce 3.00
Au (0.7500, 0.7500, 0.7500)  4 Cu 3.00, 4 Ce 3.00

Density ... 11.99 g cm⁻³



Entry B
This record from Alexandria describes an optimized crystal structure of CeCuAu2. The functional is PBE.

abc: 10.5218 10.5218 10.5218
angles: 16.03 16.03 16.03
Closest atoms and distances in Å follow each position.
Atoms (fractional coordinates):
Ce (0.0000, 0.0000, 0.0000)  6 Ce 2.93, 2 Au 3.08
Cu (0.5000, 0.5000, 0.5000)  6 Au 2.71, 6 Cu 2.93
Au (0.0989, 0.0989, 0.0989)  3 Cu 2.71, 6 Au 2.93
Au (0.9011, 0.9011, 0.9011)  3 Cu 2.71, 6 Au 2.93

Density ... 12.81 g cm⁻³



Entry C
This record from Alexandria describes an optimized crystal structure of CeCuAu2. The functional is PBE.

abc: 5.4452 5.4452 7.5696
angles: 90.00 90.00 135.02
Closest atoms and distances in Å follow each position.
Atoms (fractional coordinates):
Ce (0.0670, 0.9330, 0.7500)  3 Cu 2.93-2.96, 4 Au 3.19
Ce (0.9330, 0.0670, 0.2500)  3 Cu 2.93-2.96, 4 Au 3.19
Cu (0.2237, 0.7763, 0.2500)  6 Au 2.69, 3 Ce 2.93-2.96
Cu (0.7763, 0.2237, 0.7500)  6 Au 2.69, 3 Ce 2.93-2.96
Au (0.3611, 0.6389, 0.5546)  3 Cu 2.69, 2 Au 2.91-2.96
Au (0.3611, 0.6389, 0.9454)  3 Cu 2.69, 2 Au 2.91-2.96
Au (0.6389, 0.3611, 0.0546)  3 Cu 2.69, 2 Au 2.91-2.96
Au (0.6389, 0.3611, 0.4454)  3 Cu 2.69, 2 Au 2.91-2.96

Density ... 12.51 g cm⁻³



Entry D
This record from Alexandria describes an optimized crystal structure of CeCuAu2. The functional is PBE.

abc: 3.4152 3.4152 6.7777
angles: 90.00 90.00 90.00
Closest atoms and distances in Å follow each position.
Atoms (fractional coordinates):
Ce (0.0000, 0.0000, 0.0000)  8 Au 3.12, 2 Cu 3.39, 4 Ce 3.42
Cu (0.0000, 0.0000, 0.5000)  8 Au 2.80
Au (0.5000, 0.5000, 0.2921)  4 Cu 2.80, 1 Au 2.82, 4 Ce 3.12
Au (0.5000, 0.5000, 0.7079)  4 Cu 2.80, 1 Au 2.82, 4 Ce 3.12

Density ... 12.55 g cm⁻³



Taking the most stable structure as the zero point, the relative energies in meV per atom are entry A 135; entry B 640; entry C 0; entry D 158.